(1)
# CdPd2O4, optimized geometry, DFT GGA-PBE
data_CdPd2O4
_space_group_name_H-M_alt 'P 1'
_space_group_IT_number 1
_space_group_name_Hall 'P 1'
_cell_length_a 3.043
_cell_length_b 6.237
_cell_length_c 5.858
_cell_angle_alpha 109.27
_cell_angle_beta 90.00
_cell_angle_gamma 90.00
loop_
_atom_site_label
_atom_site_type_symbol
_atom_site_fract_x
_atom_site_fract_y
_atom_site_fract_z
_atom_site_occupancy
Cd1 Cd 0.000 0.000 0.500 1
Pd1 Pd 0.000 0.000 0.000 1
Pd2 Pd 0.500 0.500 0.000 1
O1 O 0.500 0.124 0.247 1
O2 O 0.000 0.276 0.878 1
O3 O 0.000 0.724 0.122 1
O4 O 0.500 0.876 0.753 1
# - space group = No. 10
# - formation energy from raw total energies (eV/f.u.) = -3.3
# - final energy (eV per atom) = -4.92
# - total moment (μB per cell) = 0.0

---

(2)
# Li2MgAl2, optimized geometry, DFT GGA-PBE
data_Li2MgAl2
_space_group_name_H-M_alt 'P 1'
_space_group_IT_number 1
_space_group_name_Hall 'P 1'
_cell_length_a 7.681
_cell_length_b 7.681
_cell_length_c 3.064
_cell_angle_alpha 90.00
_cell_angle_beta 90.00
_cell_angle_gamma 90.00
loop_
_atom_site_label
_atom_site_type_symbol
_atom_site_fract_x
_atom_site_fract_y
_atom_site_fract_z
_atom_site_occupancy
Al1 Al 0.622 0.122 0.000 1
Li1 Li 0.677 0.823 0.500 1
Li2 Li 0.323 0.177 0.500 1
Al2 Al 0.378 0.878 0.000 1
Al3 Al 0.122 0.378 0.000 1
Mg1 Mg 0.000 0.000 0.000 1
Al4 Al 0.878 0.622 0.000 1
Mg2 Mg 0.500 0.500 0.000 1
Li3 Li 0.823 0.323 0.500 1
Li4 Li 0.177 0.677 0.500 1
# - formation energy (eV/atom) = -0.04
# - space group = No. 127
# - final energy (eV per atom) = -2.63
# - total moment (μB per cell) = 0.0

---

(3)
# CeNbN, optimized geometry, DFT GGA-PBE
data_CeNbN
_space_group_name_H-M_alt 'P 1'
_space_group_IT_number 1
_space_group_name_Hall 'P 1'
_cell_length_a 5.671
_cell_length_b 3.240
_cell_length_c 3.240
_cell_angle_alpha 120.00
_cell_angle_beta 90.00
_cell_angle_gamma 90.00
loop_
_atom_site_label
_atom_site_type_symbol
_atom_site_fract_x
_atom_site_fract_y
_atom_site_fract_z
_atom_site_occupancy
N1 N 0.033 0.000 0.000 1
Ce1 Ce 0.744 0.667 0.333 1
Nb1 Nb 0.223 0.333 0.667 1
# - space group = No. 156
# - formation energy from raw total energies (eV/f.u.) = -2.1
# - final energy (eV per atom) = -8.81
# - total moment (μB per cell) = 0.0

---

(4)
# ScIr2Os, optimized geometry, DFT GGA-PBE
data_ScIr2Os
_space_group_name_H-M_alt 'P 1'
_space_group_IT_number 1
_space_group_name_Hall 'P 1'
_cell_length_a 2.814
_cell_length_b 2.814
_cell_length_c 7.867
_cell_angle_alpha 90.00
_cell_angle_beta 90.00
_cell_angle_gamma 90.00
loop_
_atom_site_label
_atom_site_type_symbol
_atom_site_fract_x
_atom_site_fract_y
_atom_site_fract_z
_atom_site_occupancy
Ir1 Ir 0.000 0.000 0.483 1
Os1 Os 0.500 0.500 0.250 1
Sc1 Sc 0.500 0.500 0.750 1
Ir2 Ir 0.000 0.000 0.017 1
# - formation energy (eV/atom) = -0.32
# - space group = No. 123
# - final energy (eV per atom) = -9.14
# - total moment (μB per cell) = 0.0

---

(5)
# Zr3CdH, optimized geometry, DFT GGA-PBE
data_Zr3CdH
_space_group_name_H-M_alt 'P 1'
_space_group_IT_number 1
_space_group_name_Hall 'P 1'
_cell_length_a 6.192
_cell_length_b 7.895
_cell_length_c 7.895
_cell_angle_alpha 96.30
_cell_angle_beta 97.79
_cell_angle_gamma 82.21
loop_
_atom_site_label
_atom_site_type_symbol
_atom_site_fract_x
_atom_site_fract_y
_atom_site_fract_z
_atom_site_occupancy
Zr1 Zr 0.749 0.990 0.956 1
Zr2 Zr 0.996 0.748 0.222 1
H1 H 0.750 0.143 0.643 1
Zr3 Zr 0.249 0.544 0.510 1
Cd1 Cd 0.337 0.911 0.666 1
Cd2 Cd 0.163 0.166 0.411 1
Zr4 Zr 0.751 0.456 0.490 1
H2 H 0.250 0.857 0.357 1
Zr5 Zr 0.004 0.252 0.778 1
Zr6 Zr 0.504 0.722 0.248 1
Zr7 Zr 0.139 0.648 0.875 1
Cd3 Cd 0.663 0.089 0.334 1
H3 H 0.250 0.394 0.894 1
Zr8 Zr 0.251 0.010 0.044 1
Cd4 Cd 0.837 0.834 0.589 1
Zr9 Zr 0.861 0.352 0.125 1
Zr10 Zr 0.496 0.278 0.752 1
Zr11 Zr 0.639 0.625 0.852 1
Zr12 Zr 0.361 0.375 0.148 1
H4 H 0.750 0.606 0.106 1
# - space group = No. 15
# - final energy (eV per atom) = -6.06
# - total moment (μB per cell) = 0.0

---

(6)
# EuHfRu4, optimized geometry, DFT GGA-PBE
data_EuHfRu4
_space_group_name_H-M_alt 'P 1'
_space_group_IT_number 1
_space_group_name_Hall 'P 1'
_cell_length_a 5.286
_cell_length_b 5.286
_cell_length_c 5.286
_cell_angle_alpha 60.00
_cell_angle_beta 60.00
_cell_angle_gamma 60.00
loop_
_atom_site_label
_atom_site_type_symbol
_atom_site_fract_x
_atom_site_fract_y
_atom_site_fract_z
_atom_site_occupancy
Ru1 Ru 0.127 0.624 0.624 1
Hf1 Hf 0.250 0.250 0.250 1
Ru2 Ru 0.624 0.127 0.624 1
Ru3 Ru 0.624 0.624 0.127 1
Ru4 Ru 0.624 0.624 0.624 1
Eu1 Eu 0.000 0.000 0.000 1
# - formation energy (eV/atom) = -0.09
# - space group = No. 216
# - final energy (eV per atom) = -9.64
# - total moment (μB per cell) = 6.2

---

(7)
# TlWCl2, optimized geometry, DFT GGA-PBE
data_TlWCl2
_space_group_name_H-M_alt 'P 1'
_space_group_IT_number 1
_space_group_name_Hall 'P 1'
_cell_length_a 3.367
_cell_length_b 3.367
_cell_length_c 9.646
_cell_angle_alpha 90.00
_cell_angle_beta 90.00
_cell_angle_gamma 122.88
loop_
_atom_site_label
_atom_site_type_symbol
_atom_site_fract_x
_atom_site_fract_y
_atom_site_fract_z
_atom_site_occupancy
Cl1 Cl 0.500 0.500 0.291 1
Cl2 Cl 0.000 0.000 0.942 1
W1 W 0.500 0.500 0.757 1
Tl1 Tl 0.000 0.000 0.511 1
# - space group = No. 35
# - formation energy from raw total energies (eV/f.u.) = 1.1
# - final energy (eV per atom) = -4.49
# - total moment (μB per cell) = 0.8

---

(8)
# PuTeF, optimized geometry, DFT GGA-PBE
data_PuTeF
_space_group_name_H-M_alt 'P 1'
_space_group_IT_number 1
_space_group_name_Hall 'P 1'
_cell_length_a 3.981
_cell_length_b 6.101
_cell_length_c 7.008
_cell_angle_alpha 99.51
_cell_angle_beta 73.50
_cell_angle_gamma 70.96
loop_
_atom_site_label
_atom_site_type_symbol
_atom_site_fract_x
_atom_site_fract_y
_atom_site_fract_z
_atom_site_occupancy
F1 F 0.549 0.991 0.864 1
Te1 Te 0.446 0.445 0.615 1
Pu1 Pu 0.225 0.280 0.222 1
Te2 Te 0.914 0.843 0.281 1
F2 F 0.811 0.298 0.032 1
Pu2 Pu 0.135 0.009 0.674 1
# - space group = No. 12
# - formation energy from raw total energies (eV/f.u.) = -6.4
# - final energy (eV per atom) = -8.59
# - total moment (μB per cell) = 10.0

---

(9)
# Na2PmPrSe4, optimized geometry, DFT GGA-PBE
data_Na2PmPrSe4
_space_group_name_H-M_alt 'P 1'
_space_group_IT_number 1
_space_group_name_Hall 'P 1'
_cell_length_a 4.288
_cell_length_b 7.424
_cell_length_c 7.437
_cell_angle_alpha 109.43
_cell_angle_beta 90.00
_cell_angle_gamma 90.00
loop_
_atom_site_label
_atom_site_type_symbol
_atom_site_fract_x
_atom_site_fract_y
_atom_site_fract_z
_atom_site_occupancy
Pm1 Pm 0.000 0.000 0.000 1
Se1 Se 0.000 0.251 0.763 1
Na1 Na 0.500 0.000 0.500 1
Pr1 Pr 0.500 0.500 0.000 1
Se2 Se 0.000 0.749 0.237 1
Se3 Se 0.500 0.242 0.235 1
Se4 Se 0.500 0.758 0.765 1
Na2 Na 0.000 0.500 0.500 1
# - space group = No. 10
# - formation energy from raw total energies (eV/f.u.) = -13.5
# - final energy (eV per atom) = -4.95
# - total moment (μB per cell) = 0.0

---

(10)
# Ca2RhCl, optimized geometry, DFT GGA-PBE
data_Ca2RhCl
_space_group_name_H-M_alt 'P 1'
_space_group_IT_number 1
_space_group_name_Hall 'P 1'
_cell_length_a 3.907
_cell_length_b 3.907
_cell_length_c 7.858
_cell_angle_alpha 75.61
_cell_angle_beta 75.61
_cell_angle_gamma 60.00
loop_
_atom_site_label
_atom_site_type_symbol
_atom_site_fract_x
_atom_site_fract_y
_atom_site_fract_z
_atom_site_occupancy
Rh1 Rh 0.667 0.667 0.000 1
Ca1 Ca 0.074 0.074 0.779 1
Cl1 Cl 0.499 0.499 0.503 1
Ca2 Ca 0.260 0.260 0.219 1
# - space group = No. 160
# - formation energy from raw total energies (eV/f.u.) = -3.9
# - final energy (eV per atom) = -4.27
# - total moment (μB per cell) = 0.0

---

(11)
# ZnPtW4, optimized geometry, DFT GGA-PBE
data_ZnPtW4
_space_group_name_H-M_alt 'P 1'
_space_group_IT_number 1
_space_group_name_Hall 'P 1'
_cell_length_a 5.254
_cell_length_b 5.254
_cell_length_c 5.254
_cell_angle_alpha 60.00
_cell_angle_beta 60.00
_cell_angle_gamma 60.00
loop_
_atom_site_label
_atom_site_type_symbol
_atom_site_fract_x
_atom_site_fract_y
_atom_site_fract_z
_atom_site_occupancy
Pt1 Pt 0.000 0.000 0.000 1
W1 W 0.376 0.376 0.376 1
Zn1 Zn 0.750 0.750 0.750 1
W2 W 0.871 0.376 0.376 1
W3 W 0.376 0.376 0.871 1
W4 W 0.376 0.871 0.376 1
# - formation energy (eV/atom) = 0.56
# - space group = No. 216
# - final energy (eV per atom) = -9.30
# - total moment (μB per cell) = 0.0

---

(12)
# Ac3Al3Ag8, optimized geometry, DFT GGA-PBE
data_Ac3Al3Ag8
_space_group_name_H-M_alt 'P 1'
_space_group_IT_number 1
_space_group_name_Hall 'P 1'
_cell_length_a 4.764
_cell_length_b 8.921
_cell_length_c 8.895
_cell_angle_alpha 64.75
_cell_angle_beta 74.47
_cell_angle_gamma 74.51
loop_
_atom_site_label
_atom_site_type_symbol
_atom_site_fract_x
_atom_site_fract_y
_atom_site_fract_z
_atom_site_occupancy
Ac1 Ac 0.705 0.280 0.310 1
Ag1 Ag 0.508 0.668 0.315 1
Al1 Al 0.335 0.323 0.008 1
Ag2 Ag 0.492 0.332 0.685 1
Al2 Al 0.000 0.500 0.500 1
Ag3 Ag 0.139 0.573 0.149 1
Ac2 Ac 0.000 0.000 0.000 1
Ag4 Ag 0.649 0.975 0.727 1
Ag5 Ag 0.879 0.833 0.409 1
Ag6 Ag 0.351 0.025 0.273 1
Ag7 Ag 0.121 0.167 0.591 1
Ag8 Ag 0.861 0.427 0.851 1
Al3 Al 0.665 0.677 0.992 1
Ac3 Ac 0.295 0.720 0.690 1
# - formation energy (eV/atom) = -0.28
# - space group = No. 12
# - final energy (eV per atom) = -3.59
# - total moment (μB per cell) = 0.0